(1)
# PmTm2Cu

A relaxed structure of PmTm2Cu (PBE-GGA, the Alexandria database).

Structure (CIF):
```
data_PmTm2Cu
_symmetry_space_group_name_H-M 'R -3 m'
_symmetry_Int_Tables_number 166
_symmetry_space_group_name_Hall '-R 3 2"'
_cell_length_a 3.6031
_cell_length_b 3.6031
_cell_length_c 29.3305
_cell_angle_alpha 90.00
_cell_angle_beta 90.00
_cell_angle_gamma 120.00
loop_
_atom_site_label
_atom_site_type_symbol
_atom_site_fract_x
_atom_site_fract_y
_atom_site_fract_z
Pm1 Pm 0.0000 0.0000 0.0000
Tm1 Tm 0.0000 0.0000 0.2325
Cu1 Cu 0.0000 0.0000 0.5000
```

Results
As for the magnetic moment: 0.0 Bohr magnetons per cell. As for the total energy: -53.16 eV/cell. The value obtained for the offset from the most stable computed form is 0.134 eV/atom. The formation enthalpy at 0 K is 0.0176 eV/atom.


(2)
# Pm2TmCu

A relaxed structure of Pm2TmCu (PBE-GGA, the Alexandria database).

Structure (CIF):
```
data_Pm2TmCu
_symmetry_space_group_name_H-M 'P 4/m m m'
_symmetry_Int_Tables_number 123
_symmetry_space_group_name_Hall '-P 4 2'
_cell_length_a 3.5936
_cell_length_b 3.5936
_cell_length_c 8.5461
_cell_angle_alpha 90.00
_cell_angle_beta 90.00
_cell_angle_gamma 90.00
loop_
_atom_site_label
_atom_site_type_symbol
_atom_site_fract_x
_atom_site_fract_y
_atom_site_fract_z
Pm1 Pm 0.0000 0.0000 0.2044
Tm1 Tm 0.5000 0.5000 0.5000
Cu1 Cu 0.5000 0.5000 0.0000
```

Results
As for the magnetic moment: 0.0 Bohr magnetons per cell. As for the total energy: -18.25 eV/cell. The value obtained for the offset from the most stable computed form is 0.000 eV/atom. The formation enthalpy at 0 K is -0.0463 eV/atom.


Number 1 is which compound? PmTm2Cu


Which value of offset from the most stable computed form does entry 1 give? 0.134 eV/atom